The following is a DFT calculation (PBE) of an optimized crystal structure of LiNbCoPb.

The calculation puts the spin magnetization at 6.6 μB/cell. The calculation puts the volume at 266 Å³ per cell. Its energy is -5.19 eV per atom. The energy above the most stable polymorph in this dataset comes out at 376 meV per atom.

The space group is F-43m (No. 216) and the conventional cell measures 6.434, 6.434 and 6.434 Å, with angles of 90.00, 90.00 and 90.00 degrees. Symmetry generates all atoms from Li at (0.000, 0.000, 0.000), Nb at (0.250, 0.250, 0.250), Co at (0.250, 0.250, 0.750) and Pb at (0.000, 0.000, 0.500).